No. 1
DFT (PBE-GGA) results for Pm2Ho2In5 after structural relaxation.

Uncorrected energy in Ry per atom: -0.28579
Crystal system: orthorhombic
Formation enthalpy at 0 K in eV/atom: -0.294
Symmetry: Cmce, No. 64
DOS(E_F) in states/eV per cell: 13.47

POSCAR file:
```
Pm2Ho2In5
1.0
8.223 -4.007 0.000
8.223 4.007 0.000
0.000 0.000 8.059
Pm Ho In
4 4 10
Cartesian
3.269 0.000 0.000
4.955 0.000 4.029
11.492 0.000 4.029
13.178 0.000 0.000
8.223 2.744 5.312
8.223 1.263 1.282
8.223 -1.263 6.776
8.223 -2.744 2.747
0.000 0.000 0.000
6.097 2.883 2.911
6.097 1.125 6.940
10.350 2.883 2.911
10.350 1.125 6.940
8.223 0.000 4.029
6.097 -1.125 1.118
6.097 -2.883 5.147
10.350 -1.125 1.118
10.350 -2.883 5.147
```

---

No. 2
DFT (PBE-GGA) results for PmHo9In2 after structural relaxation.

Uncorrected energy in Ry per atom: -0.32679
Crystal system: tetragonal
Formation enthalpy at 0 K in eV/atom: -0.161
Symmetry: P4/mmm, No. 123
DOS(E_F) in states/eV per cell: 13.43

POSCAR file:
```
PmHo9In2
1.0
4.857 0.000 0.000
0.000 4.857 0.000
0.000 0.000 14.924
Pm Ho In
1 9 2
Cartesian
0.000 0.000 0.000
0.000 2.428 2.602
0.000 2.428 7.462
0.000 2.428 12.322
2.428 0.000 2.602
2.428 0.000 7.462
2.428 0.000 12.322
2.428 2.428 0.000
2.428 2.428 5.054
2.428 2.428 9.869
0.000 0.000 5.066
0.000 0.000 9.857
```

---

No. 3
DFT (PBE-GGA) results for PmHo4In after structural relaxation.

Uncorrected energy in Ry per atom: -0.32693
Crystal system: tetragonal
Formation enthalpy at 0 K in eV/atom: -0.148
Symmetry: P4/mmm, No. 123
DOS(E_F) in states/eV per cell: 6.53
Distance to the lowest polymorph of the same formula in eV per atom: 0.000

POSCAR file:
```
PmHo4In
1.0
3.572 0.000 0.000
0.000 3.572 0.000
0.000 0.000 14.231
Pm Ho In
1 4 1
Cartesian
0.000 0.000 0.000
0.000 0.000 5.027
0.000 0.000 9.204
1.786 1.786 2.544
1.786 1.786 11.687
1.786 1.786 7.116
```

---

No. 4
DFT (PBE-GGA) results for Pm3Ho3In2 after structural relaxation.

Uncorrected energy in Ry per atom: -0.31923
Crystal system: orthorhombic
Formation enthalpy at 0 K in eV/atom: -0.161
Symmetry: Cmcm, No. 63
DOS(E_F) in states/eV per cell: 17.52
Distance to the lowest polymorph of the same formula in eV per atom: 0.105

POSCAR file:
```
Pm3Ho3In2
1.0
2.584 -5.940 0.000
2.584 5.940 0.000
0.000 0.000 16.225
Pm Ho In
6 6 4
Cartesian
2.584 5.463 9.806
2.584 5.463 14.531
2.584 2.806 12.169
2.584 -2.806 4.056
2.584 -5.463 1.694
2.584 -5.463 6.419
2.584 1.666 8.700
2.584 1.666 15.638
2.584 0.509 4.056
2.584 -0.509 12.169
2.584 -1.666 0.587
2.584 -1.666 7.525
2.584 3.138 2.185
2.584 3.138 5.928
2.584 -3.138 10.297
2.584 -3.138 14.040
```

---

No. 5
DFT (PBE-GGA) results for Pm5Ho5In2 after structural relaxation.

Uncorrected energy in Ry per atom: -0.32324
Crystal system: monoclinic
Formation enthalpy at 0 K in eV/atom: -0.055
Symmetry: C2/m, No. 12
DOS(E_F) in states/eV per cell: 14.48

POSCAR file:
```
Pm5Ho5In2
1.0
5.698 -2.664 0.000
5.698 2.664 0.000
-0.489 0.000 12.543
Pm Ho In
5 5 2
Cartesian
0.000 0.000 0.000
3.662 0.000 6.241
4.741 0.000 2.394
6.166 0.000 10.150
7.245 0.000 6.302
-0.245 0.000 6.272
1.387 0.000 3.306
2.933 0.000 11.581
7.974 0.000 0.962
9.519 0.000 9.238
1.641 0.000 8.738
9.265 0.000 3.805
```

---

No. 6
DFT (PBE-GGA) results for PmHo2In4 after structural relaxation.

Uncorrected energy in Ry per atom: -0.28271
Crystal system: tetragonal
Formation enthalpy at 0 K in eV/atom: -0.295
Symmetry: I4/mmm, No. 139
DOS(E_F) in states/eV per cell: 5.70
Distance to the lowest polymorph of the same formula in eV per atom: 0.140

POSCAR file:
```
PmHo2In4
1.0
-2.642 2.642 7.362
2.642 -2.642 7.362
2.642 2.642 -7.362
Pm Ho In
1 2 4
Cartesian
0.000 0.000 0.000
0.000 0.000 3.730
0.000 0.000 10.995
2.642 0.000 1.783
2.642 0.000 5.579
0.000 2.642 1.783
0.000 2.642 5.579
```

---

No. 7
DFT (PBE-GGA) results for Pm12HoIn3 after structural relaxation.

Uncorrected energy in Ry per atom: -0.33515
Crystal system: tetragonal
Formation enthalpy at 0 K in eV/atom: -0.197
Symmetry: P4/mmm, No. 123
DOS(E_F) in states/eV per cell: 22.71

POSCAR file:
```
Pm12HoIn3
1.0
4.969 0.000 0.000
0.000 4.969 0.000
0.000 0.000 20.232
Pm Ho In
12 1 3
Cartesian
0.000 0.000 0.000
0.000 0.000 4.977
0.000 0.000 10.116
0.000 0.000 15.255
0.000 2.484 2.493
0.000 2.484 7.476
0.000 2.484 12.757
0.000 2.484 17.739
2.484 0.000 2.493
2.484 0.000 7.476
2.484 0.000 12.757
2.484 0.000 17.739
2.484 2.484 10.116
2.484 2.484 0.000
2.484 2.484 4.942
2.484 2.484 15.290
```

---

No. 8
DFT (PBE-GGA) results for Pm9Ho2In after structural relaxation.

Uncorrected energy in Ry per atom: -0.33990
Crystal system: tetragonal
Formation enthalpy at 0 K in eV/atom: -0.070
Symmetry: P4/mmm, No. 123
DOS(E_F) in states/eV per cell: 15.79

POSCAR file:
```
Pm9Ho2In
1.0
5.035 0.000 0.000
0.000 5.035 0.000
0.000 0.000 15.395
Pm Ho In
9 2 1
Cartesian
0.000 0.000 0.000
0.000 0.000 5.085
0.000 0.000 10.310
0.000 2.518 2.487
0.000 2.518 7.698
0.000 2.518 12.909
2.518 0.000 2.487
2.518 0.000 7.698
2.518 0.000 12.909
2.518 2.518 5.104
2.518 2.518 10.291
2.518 2.518 0.000
```

---

No. 9
DFT (PBE-GGA) results for Pm3Ho6In after structural relaxation.

Uncorrected energy in Ry per atom: -0.32884
Crystal system: monoclinic
Formation enthalpy at 0 K in eV/atom: -0.028
Symmetry: P2_1/m, No. 11
DOS(E_F) in states/eV per cell: 27.72

POSCAR file:
```
Pm3Ho6In
1.0
12.936 0.000 0.000
0.000 3.551 0.000
-4.643 0.000 13.714
Pm Ho In
6 12 2
Cartesian
-1.719 0.888 5.429
0.240 0.888 13.710
3.284 0.888 8.118
5.008 2.664 5.596
8.052 2.664 0.004
10.012 2.664 8.285
1.647 2.664 0.314
-1.905 0.888 11.112
0.032 0.888 8.217
1.415 2.664 5.368
3.285 0.888 2.987
1.299 2.664 10.827
6.993 0.888 2.886
5.008 2.664 10.726
6.877 0.888 8.346
8.260 2.664 5.497
10.197 2.664 2.601
6.645 0.888 13.400
0.093 0.888 2.655
8.199 2.664 11.058
```

---

No. 10
DFT (PBE-GGA) results for Pm3Ho4In after structural relaxation.

Uncorrected energy in Ry per atom: -0.33193
Crystal system: orthorhombic
Formation enthalpy at 0 K in eV/atom: -0.103
Symmetry: Pmn2_1, No. 31
DOS(E_F) in states/eV per cell: 21.69
Distance to the lowest polymorph of the same formula in eV per atom: 0.009

POSCAR file:
```
Pm3Ho4In
1.0
11.235 0.000 0.000
0.000 7.096 0.000
0.000 0.000 6.226
Pm Ho In
6 8 2
Cartesian
0.000 0.908 0.000
2.760 2.723 1.263
2.858 4.373 4.376
5.618 6.188 3.113
8.377 4.373 4.376
8.475 2.723 1.263
0.000 2.636 3.311
0.000 6.192 3.278
2.683 6.198 1.118
2.935 0.898 4.231
5.618 0.903 0.165
5.618 4.459 0.198
8.300 0.898 4.231
8.552 6.198 1.118
0.000 4.459 0.149
5.618 2.636 3.262
```

---

No. 11
DFT (PBE-GGA) results for Pm5HoIn2 after structural relaxation.

Uncorrected energy in Ry per atom: -0.32203
Crystal system: orthorhombic
Formation enthalpy at 0 K in eV/atom: -0.156
Symmetry: Immm, No. 71
DOS(E_F) in states/eV per cell: 11.41
Distance to the lowest polymorph of the same formula in eV per atom: 0.118

POSCAR file:
```
Pm5HoIn2
1.0
-1.822 5.488 6.256
1.822 -5.488 6.256
1.822 5.488 -6.256
Pm Ho In
5 1 2
Cartesian
0.000 0.000 0.000
1.822 2.426 -1.729
1.822 2.426 1.729
0.000 3.062 4.527
0.000 3.062 7.985
0.000 5.488 0.000
0.000 0.000 3.439
0.000 0.000 9.073
```

---

No. 12
DFT (PBE-GGA) results for Pm3HoIn4 after structural relaxation.

Uncorrected energy in Ry per atom: -0.30954
Crystal system: tetragonal
Formation enthalpy at 0 K in eV/atom: -0.489
Symmetry: P4/mmm, No. 123
DOS(E_F) in states/eV per cell: 4.42

POSCAR file:
```
Pm3HoIn4
1.0
3.813 0.000 0.000
0.000 3.813 0.000
0.000 0.000 15.383
Pm Ho In
3 1 4
Cartesian
0.000 0.000 0.000
0.000 0.000 3.922
0.000 0.000 11.462
0.000 0.000 7.692
1.907 1.907 1.961
1.907 1.907 5.893
1.907 1.907 9.490
1.907 1.907 13.423
```